! TlCrN2F (PBE+U, relaxed); values from VASP
&SYSTEM
  ibrav = 0, nat = 5, ntyp = 4
/
ATOMIC_SPECIES
Tl 204.38 Tl.upf
Cr 52.00 Cr.upf
N 14.01 N.upf
F 19.00 F.upf
CELL_PARAMETERS angstrom
3.987 0.000 0.000
0.000 3.987 0.000
0.000 0.000 4.175
ATOMIC_POSITIONS angstrom
Tl 0.000 0.000 0.000
Cr 1.993 1.993 2.088
N 0.000 1.993 2.088
N 1.993 0.000 2.088
F 1.993 1.993 0.000
! Space-group type ... P4/mmm (123)
! DOS at the Fermi energy ... 0.36 states/eV per atom
! Electronic total energy ... -0.4131 Ry per atom
! Crystal system ... tetragonal
! Volume ... 13.271 Å³ per atom